First-principles (PBE) data for a relaxed Ca2TaIr crystal, as listed in Alexandria.

Output
Its total magnetization is 0.000 μB/atom. Its calculated density is 6.099 Mg/m³. The electronic total energy is -6.238 eV/atom. For the density of states at the Fermi level, the calculation gives 0.86 states/eV/atom. The value obtained for the formation energy is -0.0589 eV per atom. As for the space group: Cm.

Lattice parameters (Å, degrees): 4.284 4.284 8.143 104.98 104.98 59.92
Fractional coordinates of all 4 atoms:
Ca 0.000 0.000 0.000
Ca 0.181 0.181 0.552
Ta 0.428 0.428 0.289
Ir 0.746 0.746 0.243